# 1
Density functional theory data (PBE) for a relaxed HfTc3Cl crystal.

Unit cell a=5.019 b=5.019 c=5.019 alpha=90.00 beta=90.00 gamma=90.00
Sites, in units of the cell vectors:
Hf: 0.000 0.000 0.000
Tc: 0.000 0.000 0.500
Tc: 0.000 0.500 0.000
Tc: 0.500 0.000 0.000
Cl: 0.500 0.500 0.500

Summary:
The calculation puts the electronic total energy at -6.53 eV per atom. The theoretical density comes out at 6.67 g/cm³. As for the formation energy from raw total energies: 2.05 eV/atom. The calculated volume comes out at 25.3 A^3/atom. The calculation puts the total magnetic moment at 8.1 μB/f.u.



# 2
Density functional theory data (PBE) for a relaxed HfTc2Cl crystal.

Unit cell a=5.741 b=5.741 c=5.741 alpha=101.55 beta=101.55 gamma=126.84
Sites, in units of the cell vectors:
Hf: 0.000 0.000 0.000
Hf: 0.750 0.250 0.500
Tc: 0.206 0.625 0.081
Tc: 0.375 0.456 0.581
Tc: 0.544 0.125 0.919
Tc: 0.875 0.794 0.419
Cl: 0.250 0.750 0.500
Cl: 0.500 0.500 0.000

Summary:
The calculation puts the electronic total energy at -7.59 eV per atom. The theoretical density comes out at 10.05 g/cm³. As for the formation energy from raw total energies: 0.55 eV/atom. The calculated volume comes out at 16.9 A^3/atom. The calculation puts the total magnetic moment at 0.0 μB/f.u.



# 3
Density functional theory data (PBE) for a relaxed Hf2TcTeCl crystal.

Unit cell a=5.342 b=5.342 c=4.794 alpha=90.00 beta=90.00 gamma=90.00
Sites, in units of the cell vectors:
Hf: 0.000 0.500 0.000
Hf: 0.500 0.000 0.000
Tc: 0.000 0.000 0.500
Te: 0.000 0.000 0.000
Cl: 0.500 0.500 0.500

Summary:
The calculation puts the electronic total energy at -5.81 eV per atom. The theoretical density comes out at 7.50 g/cm³. As for the formation energy from raw total energies: 1.24 eV/atom. The calculated volume comes out at 27.4 A^3/atom. The calculation puts the total magnetic moment at 0.0 μB/f.u.



# 4
Density functional theory data (PBE) for a relaxed HfZrTcCl2 crystal.

Unit cell a=4.686 b=4.686 c=5.150 alpha=90.00 beta=90.00 gamma=90.00
Sites, in units of the cell vectors:
Hf: 0.000 0.000 0.000
Zr: 0.500 0.500 0.000
Tc: 0.000 0.000 0.500
Cl: 0.000 0.500 0.500
Cl: 0.500 0.000 0.500

Summary:
The calculation puts the electronic total energy at -5.87 eV per atom. The theoretical density comes out at 6.44 g/cm³. As for the formation energy from raw total energies: 0.64 eV/atom. The calculated volume comes out at 22.6 A^3/atom. The calculation puts the total magnetic moment at 0.3 μB/f.u.



- The lowest calculated volume belongs to which entry?
  HfTc2Cl



- Among the records above, which one has the highest theoretical density?
  HfTc2Cl



Copy entry 4 word for word.
Density functional theory data (PBE) for a relaxed HfZrTcCl2 crystal.

Unit cell a=4.686 b=4.686 c=5.150 alpha=90.00 beta=90.00 gamma=90.00
Sites, in units of the cell vectors:
Hf: 0.000 0.000 0.000
Zr: 0.500 0.500 0.000
Tc: 0.000 0.000 0.500
Cl: 0.000 0.500 0.500
Cl: 0.500 0.000 0.500

Summary:
The calculation puts the electronic total energy at -5.87 eV per atom. The theoretical density comes out at 6.44 g/cm³. As for the formation energy from raw total energies: 0.64 eV/atom. The calculated volume comes out at 22.6 A^3/atom. The calculation puts the total magnetic moment at 0.3 μB/f.u.